Here is crystalline VInO4 at its relaxed geometry from the Alexandria database. Energies are from PBE+U.

It has space group C2/m (No. 12), with a = 10.473 Å, b = 9.582 Å, c = 7.171 Å, α = 90.00°, β = 104.94° and γ = 90.00°. The asymmetric unit holds V at (0.000, 0.248, 0.000), V at (0.226, 0.000, 0.594), In at (0.000, 0.313, 0.500), In at (0.211, 0.500, 0.869), O at (0.048, 0.345, 0.812), O at (0.133, 0.150, 0.108), O at (0.139, 0.149, 0.525), O at (0.141, 0.500, 0.540) and O at (0.208, 0.500, 0.162).

The energy is -323.4 eV/cell. Its volume is 14.49 A^3/atom.